! Tb2BeCoO6 PBE with a Hubbard U relaxed; values from VASP
! Raw total energy, eV per cell: -144.6
! SG: P-1
&SYSTEM
  ibrav = 0, nat = 20, ntyp = 4
/
ATOMIC_SPECIES
Tb 158.93 Tb.upf
Be 9.01 Be.upf
Co 58.93 Co.upf
O 16.00 O.upf
CELL_PARAMETERS angstrom
5.1924 0.0045 -0.0141
0.0046 5.3275 -0.0009
0.0251 -0.0012 7.2691
ATOMIC_POSITIONS angstrom
Tb 0.0732 5.0288 1.8219
Tb 2.6803 2.9677 5.4510
Tb 5.1488 0.3019 5.4321
Tb 2.5418 2.3631 1.8031
Be 2.5962 0.0022 -0.0071
Be 0.0148 2.6632 3.6341
Co 2.6087 0.0016 3.6275
Co 0.0023 2.6638 -0.0004
O 1.5202 3.7816 0.2993
O 4.1331 4.2061 3.9300
O 3.7019 1.5492 6.9548
O 1.0890 1.1246 3.3240
O 1.5365 3.7868 3.3375
O 4.1435 4.2182 6.9673
O 3.6856 1.5439 3.9166
O 1.0786 1.1125 0.2867
O 4.7981 2.7470 1.8350
O 2.2169 5.2534 5.4744
O 0.4239 2.5838 5.4191
O 3.0052 0.0774 1.7797